Entry 1:
## LiAcH8Pd2 (PBE-GGA)

Data for a relaxed structure of LiAcH8Pd2.

a b c (Å): 4.748 4.748 7.056
angles (deg): 70.34 70.34 60.00
Fractional coordinates of all 12 atoms:
1 Li 0.000 0.000 0.000
2 Ac 0.500 0.500 0.500
3 H 0.151 0.151 0.547
4 H 0.580 0.324 0.147
5 H 0.849 0.849 0.453
6 H 0.949 0.580 0.147
7 H 0.051 0.420 0.853
8 H 0.324 0.949 0.147
9 H 0.676 0.051 0.853
10 H 0.420 0.676 0.853
11 Pd 0.333 0.333 0.002
12 Pd 0.667 0.667 0.998

Properties
Uncorrected energy in eV per atom: -3.88
Total magnetic moment in μB/cell: 0.0

***

Entry 2:
## Sr3MnCd (PBE-GGA)

Data for a relaxed structure of Sr3MnCd.

a b c (Å): 6.234 6.234 6.234
angles (deg): 90.00 90.00 90.00
Each line ends with the local moment (μB).
Fractional coordinates of all 5 atoms:
1 Sr 0.000 0.500 0.000  -0.02
2 Sr 0.000 0.000 0.500  -0.02
3 Sr 0.500 0.000 0.000  -0.03
4 Mn 0.500 0.500 0.500  4.34
5 Cd 0.000 0.000 0.000  -0.01

Properties
Distance to the lowest polymorph of the same formula in meV per atom: 0.0
Total magnetic moment in μB/cell: 4.3
ΔH_f (0 K) in eV per atom: 0.52